A plane-wave DFT calculation with PBE-GGA was carried out for a relaxed structure of Tb3Pm2Pb2.

a = 3.5602 Å, b = 8.1717 Å, c = 9.0261 Å
α = 120.15°, β = 101.37°, γ = 90.00°
Closest atoms and distances in Å follow each position.
Positions (direct):
Pb (0.5766, 0.8886, 0.1531)  5 Tb 3.27-3.43, 4 Pm 3.36-3.60, 2 Pb 3.56
Pb (0.4234, 0.1114, 0.8469)  5 Tb 3.27-3.43, 4 Pm 3.36-3.60, 2 Pb 3.56
Tb (0.2130, 0.7862, 0.4260)  5 Tb 3.26-3.56, 3 Pb 3.29-3.43, 3 Pm 3.60-3.61
Tb (0.0000, 0.5000, 0.0000)  4 Tb 3.26-3.56, 4 Pb 3.27, 2 Pm 3.52
Tb (0.7870, 0.2138, 0.5740)  5 Tb 3.26-3.56, 3 Pb 3.29-3.43, 3 Pm 3.60-3.61
Pm (0.8732, 0.7201, 0.7463)  4 Pb 3.36-3.60, 4 Tb 3.52-3.61, 2 Pm 3.56
Pm (0.1268, 0.2799, 0.2537)  4 Pb 3.36-3.60, 4 Tb 3.52-3.61, 2 Pm 3.56

Summary:
Size of the total moment, μB/f.u.: 0.558
Formation energy from the elements, eV/atom: -0.16